Material: GdTmOsAu
Method: DFT, PBE
State: optimized geometry

```
data_GdTmOsAu
_chemical_formula_sum 'Gd4 Tm4 Os4 Au4'
_cell_length_a 6.977
_cell_length_b 6.977
_cell_length_c 6.977
_cell_angle_alpha 90.00
_cell_angle_beta 90.00
_cell_angle_gamma 90.00
_space_group_name_H-M_alt 'F -4 3 m'
_space_group_IT_number 216
_space_group_name_Hall 'F -4 2 3'
loop_
_atom_site_label
_atom_site_type_symbol
_atom_site_fract_x
_atom_site_fract_y
_atom_site_fract_z
Gd1 Gd 0.000 0.000 0.000
Tm1 Tm 0.000 0.000 0.500
Os1 Os 0.250 0.250 0.250
Au1 Au 0.250 0.250 0.750
```

Values from the calculation:
* formation energy: -0.474 eV per atom
* density of states at the Fermi level: 8.1 states/eV per cell